4
Lattice="1.4080 0.8129 8.0518 -1.4080 0.8129 8.0518 0.0000 -1.6258 8.0518" Properties=species:S:1:pos:R:3 comment="POsRh2 PBE-GGA relaxed" e_form_ev_per_atom=-0.05 pbc="T T T"
P 0.0000 0.0000 0.0000
Os 0.0000 0.0000 17.8730
Rh 0.0000 0.0000 6.2815
Rh 0.0000 0.0000 12.0229

14
Lattice="6.7810 0.0000 0.0000 0.0000 7.5273 0.0000 -3.2933 0.0000 7.0994" Properties=species:S:1:pos:R:3 comment="Nd3Te2N2 PBE-GGA relaxed" e_form_raw_ev_per_atom=-1.2345 pbc="T T T"
Nd 0.0000 0.0000 0.0000
Nd -1.6466 3.7637 3.5497
Nd 0.1366 1.0130 5.6174
Nd 1.7832 2.7507 2.0677
Nd 1.7045 4.7766 5.0317
Nd 3.3512 6.5143 1.4820
Te -1.8253 4.7357 6.5304
Te -0.1787 6.5552 2.9807
Te 3.6664 0.9721 4.1186
Te 5.3130 2.7916 0.5690
N 2.1309 0.8237 0.5188
N 0.4842 2.9399 4.0685
N 3.0035 4.5874 3.0309
N 1.3569 6.7036 6.5806